## YV3Au (PBE)

Data for a relaxed structure of YV3Au.

Values from the calculation:
- Mass density: 6.128 g/cm3
- Energy of formation from the pure elements: 24.67 kcal/mol of atoms
- Total moment: 7.656 Bohr magnetons per cell
- Energy relative to the lowest polymorph listed for this composition: 0.0 meV per atom
- Crystal system: cubic
- Volume: 119 Å³/cell

a b c (Å): 4.9169 4.9169 4.9169
angles (deg): 90.00 90.00 90.00
Last column: nearest neighbours and their distance in Å.
Space group Pm-3m (No. 221)
Symmetry-distinct sites (fractional):
1 Y 0.0000 0.0000 0.0000 x1  12 V 3.48
2 V 0.0000 0.5000 0.5000 x3  2 Au 2.46
3 Au 0.5000 0.5000 0.5000 x1  6 V 2.46